1.
Density functional theory data (PBE) for a geometry-optimized KHgMo2 structure.

Cell lengths 4.8462, 4.8462, 4.8462 Å; angles 119.94, 119.94, 90.10 degrees
Positions (direct):
K 0.0000 0.0000 0.0000
Hg 0.2500 0.7500 0.5000
Mo 0.5000 0.5000 0.0000
Mo 0.7500 0.2500 0.5000

Computed properties:
For the magnetic moment, the calculation gives 0.60 Bohr magnetons per cell. The value obtained for the formation energy is 1307 meV/atom.


2.
Density functional theory data (PBE) for a geometry-optimized KHgMo2 structure.

Cell lengths 6.2392, 6.2392, 2.7142 Å; angles 98.58, 98.58, 125.29 degrees
Positions (direct):
K 0.0000 0.0000 0.0000
Hg 0.5000 0.5000 0.0000
Mo 0.0000 0.5000 0.5000
Mo 0.5000 0.0000 0.5000

Computed properties:
For the magnetic moment, the calculation gives 0.00 Bohr magnetons per cell. The value obtained for the formation energy is 1203 meV/atom.


3.
Density functional theory data (PBE) for a geometry-optimized KHgMo4 structure.

Cell lengths 5.4676, 5.4676, 5.4676 Å; angles 60.00, 60.00, 60.00 degrees
Positions (direct):
K 0.0000 0.0000 0.0000
Hg 0.2500 0.2500 0.2500
Mo 0.1209 0.6264 0.6264
Mo 0.6264 0.1209 0.6264
Mo 0.6264 0.6264 0.1209
Mo 0.6264 0.6264 0.6264

Computed properties:
For the magnetic moment, the calculation gives 0.00 Bohr magnetons per cell. The value obtained for the formation energy is 1035 meV/atom.


4.
Density functional theory data (PBE) for a geometry-optimized K3HgMo structure.

Cell lengths 6.4733, 6.4733, 6.4733 Å; angles 90.00, 90.00, 90.00 degrees
Positions (direct):
K 0.0000 0.0000 0.5000
K 0.0000 0.5000 0.0000
K 0.5000 0.0000 0.0000
Hg 0.0000 0.0000 0.0000
Mo 0.5000 0.5000 0.5000

Computed properties:
For the magnetic moment, the calculation gives 5.42 Bohr magnetons per cell. The excess energy over the best structure of this formula in the dataset is 0.0 meV/atom. The value obtained for the formation energy is 1005 meV/atom.


5.
Density functional theory data (PBE) for a geometry-optimized KHg4Mo structure.

Cell lengths 6.0559, 6.0559, 6.0559 Å; angles 60.00, 60.00, 60.00 degrees
Positions (direct):
K 0.0000 0.0000 0.0000
Hg 0.3754 0.3754 0.3754
Hg 0.3754 0.3754 0.8737
Hg 0.3754 0.8737 0.3754
Hg 0.8737 0.3754 0.3754
Mo 0.7500 0.7500 0.7500

Computed properties:
For the magnetic moment, the calculation gives 4.69 Bohr magnetons per cell. The value obtained for the formation energy is 554 meV/atom.


6.
Density functional theory data (PBE) for a geometry-optimized KHgMo structure.

Cell lengths 8.5462, 8.5450, 2.8570 Å; angles 80.40, 80.36, 19.25 degrees
Positions (direct):
K 0.0000 0.0000 0.0000
Hg 0.3207 0.3207 0.6793
Mo 0.6815 0.6815 0.3185

Computed properties:
For the magnetic moment, the calculation gives 0.00 Bohr magnetons per cell. The excess energy over the best structure of this formula in the dataset is 11.7 meV/atom. The value obtained for the formation energy is 919 meV/atom.


7.
Density functional theory data (PBE) for a geometry-optimized K4HgMo structure.

Cell lengths 7.5088, 7.5088, 7.5088 Å; angles 60.00, 60.00, 60.00 degrees
Positions (direct):
K 0.1245 0.1245 0.1245
K 0.1245 0.1245 0.6264
K 0.1245 0.6264 0.1245
K 0.6264 0.1245 0.1245
Hg 0.5000 0.5000 0.5000
Mo 0.7500 0.7500 0.7500

Computed properties:
For the magnetic moment, the calculation gives 5.14 Bohr magnetons per cell. The value obtained for the formation energy is 928 meV/atom.


8.
Density functional theory data (PBE) for a geometry-optimized KHgMo2 structure.

Cell lengths 5.9925, 5.9925, 5.9925 Å; angles 141.25, 141.25, 55.97 degrees
Positions (direct):
K 0.0000 0.0000 0.0000
Hg 0.5000 0.5000 0.0000
Mo 0.2500 0.7500 0.5000
Mo 0.7500 0.2500 0.5000

Computed properties:
For the magnetic moment, the calculation gives 0.00 Bohr magnetons per cell. The value obtained for the formation energy is 1395 meV/atom.


9.
Density functional theory data (PBE) for a geometry-optimized KHgMo2 structure.

Cell lengths 10.3402, 10.3402, 10.3402 Å; angles 18.09, 18.09, 18.09 degrees
Positions (direct):
K 0.0000 0.0000 0.0000
Hg 0.7643 0.7643 0.7643
Mo 0.2307 0.2307 0.2307
Mo 0.5112 0.5112 0.5112

Computed properties:
For the magnetic moment, the calculation gives 0.00 Bohr magnetons per cell. The value obtained for the formation energy is 592 meV/atom.


10.
Density functional theory data (PBE) for a geometry-optimized KHgMo2 structure.

Cell lengths 11.3154, 11.3154, 11.3154 Å; angles 14.78, 14.78, 14.78 degrees
Positions (direct):
K 0.0000 0.0000 0.0000
Hg 0.5000 0.5000 0.5000
Mo 0.2396 0.2396 0.2396
Mo 0.7604 0.7604 0.7604

Computed properties:
For the magnetic moment, the calculation gives 0.00 Bohr magnetons per cell. The value obtained for the formation energy is 1140 meV/atom.


11.
Density functional theory data (PBE) for a geometry-optimized KHgMo2 structure.

Cell lengths 11.1305, 11.1305, 11.1305 Å; angles 157.12, 157.12, 32.58 degrees
Positions (direct):
K 0.0000 0.0000 0.0000
K 0.7500 0.2500 0.5000
Hg 0.2500 0.7500 0.5000
Hg 0.5000 0.5000 0.0000
Mo 0.2819 0.6250 0.1569
Mo 0.3750 0.5319 0.6569
Mo 0.4681 0.1250 0.8431
Mo 0.8750 0.7181 0.3431

Computed properties:
For the magnetic moment, the calculation gives 0.00 Bohr magnetons per cell. The value obtained for the formation energy is 1306 meV/atom.


12.
Density functional theory data (PBE) for a geometry-optimized KHgMo2 structure.

Cell lengths 2.7550, 5.2864, 5.6970 Å; angles 90.00, 90.00, 90.00 degrees
Positions (direct):
K 0.0000 0.0000 0.0000
Hg 0.5000 0.5000 0.0000
Mo 0.0000 0.5000 0.5000
Mo 0.5000 0.0000 0.5000

Computed properties:
For the magnetic moment, the calculation gives 0.88 Bohr magnetons per cell. The value obtained for the formation energy is 1194 meV/atom.